This record from OQMD describes an optimized crystal structure of NaTcNi. The functional is PBE.

The structure in extended XYZ format:
```
3
Lattice="0.0000 2.9242 2.9242 2.9242 0.0000 2.9242 2.9242 2.9242 0.0000" Properties=species:S:1:pos:R:3 pbc="T T T"
Na 1.4621 1.4621 1.4621
Ni 0.0000 0.0000 0.0000
Tc 4.3863 4.3863 4.3863
```

Values from the calculation:
As for the crystal system: cubic. The value obtained for the energy relative to the lowest polymorph listed for this composition is 0 meV per atom. As for the space group: F-43m.

This record from OQMD describes an optimized crystal structure of HoHg3Se4I. The functional is PBE.

The structure in extended XYZ format:
```
18
Lattice="-1.8457 0.7510 -8.0084 5.4872 -5.6532 2.4573 -6.3287 -5.7430 0.9200" Properties=species:S:1:pos:R:3 pbc="T T T"
Hg 1.0110 -4.4503 1.3620
Hg 0.1375 -4.0949 -2.4281
Hg 2.7344 -6.7703 -1.2651
Hg -5.7545 -4.1768 -3.3176
Hg -3.1576 -6.8522 -2.1546
Hg -4.0311 -6.4968 -5.9447
Ho -0.7461 -0.6771 0.1085
Ho -3.9105 -3.5486 0.5685
I 0.2876 -1.6659 -4.4747
I -0.4324 -6.6721 -0.5261
Se 2.3293 -4.1660 -0.9275
Se -2.0166 -2.6450 -1.5820
Se -3.0815 -2.2117 -6.2028
Se 0.0845 -5.4735 -4.7849
Se -3.2794 -4.9027 -3.9561
Se -4.1470 -6.4195 0.3537
Se -0.9809 -9.6813 1.7716
Se -2.0459 -9.2480 -2.8492
```

Values from the calculation:
As for the crystal system: hexagonal. The value obtained for the total energy is -2.87 eV per atom. As for the space group: P6_3mc.

This record from OQMD describes an optimized crystal structure of ErZr. The functional is PBE.

The structure in extended XYZ format:
```
4
Lattice="-4.8125 -1.2632 -3.2053 1.9390 -0.5420 -2.6976 0.4454 -5.1188 1.3485" Properties=species:S:1:pos:R:3 pbc="T T T"
Er -1.4279 -0.9003 -2.9456
Er -2.8270 -3.8854 -3.3515
Zr -0.0880 -0.0231 -0.0586
Zr -1.2935 -2.9574 -0.3356
```

Values from the calculation:
As for the crystal system: orthorhombic. The calculation puts the energy relative to the elements at 55 meV/atom. As for the space group: Pmma.

This record from OQMD describes an optimized crystal structure of AcPmZn. The functional is PBE.

The structure in extended XYZ format:
```
3
Lattice="0.0552 -4.2832 -3.0268 -2.5515 -4.3216 1.5245 -4.3571 -1.4952 -2.5081" Properties=species:S:1:pos:R:3 pbc="T T T"
Ac -1.7134 -2.5250 -1.0026
Pm -5.1401 -7.5750 -3.0078
Zn 0.0000 0.0000 0.0000
```

Values from the calculation:
As for the crystal system: cubic. The calculation puts the energy relative to the elements at 42 meV/atom. The value obtained for the energy relative to the lowest polymorph listed for this composition is 0 meV per atom. As for the space group: F-43m.

This record from OQMD describes an optimized crystal structure of NaErZr. The functional is PBE.

The structure in extended XYZ format:
```
3
Lattice="0.0000 3.6830 3.6830 3.6830 0.0000 3.6830 3.6830 3.6830 0.0000" Properties=species:S:1:pos:R:3 pbc="T T T"
Er 0.0000 0.0000 0.0000
Na 1.8415 1.8415 1.8415
Zr 5.5245 5.5245 5.5245
```

Values from the calculation:
As for the crystal system: cubic. The value obtained for the total energy is -3.47 eV per atom. As for the space group: F-43m.

This record from OQMD describes an optimized crystal structure of HoNi2Ge. The functional is PBE.

The structure in extended XYZ format:
```
8
Lattice="-3.5753 -0.0272 -1.8693 -2.1087 -1.4330 4.0540 -0.9780 6.4649 1.7765" Properties=species:S:1:pos:R:3 pbc="T T T"
Ge -2.2740 0.9556 -0.0186
Ge -4.2555 3.1738 3.7392
Ho -1.6128 1.1593 3.0678
Ho -1.6036 4.7303 2.9983
Ni -3.1854 -0.7100 1.7489
Ni -0.6593 2.8730 1.2192
Ni -3.0571 2.9420 1.4504
Ni -2.8495 4.9494 5.3780
```

Values from the calculation:
As for the crystal system: orthorhombic. The value obtained for the total energy is -5.45 eV per atom. As for the space group: Pmc2_1.

This record from OQMD describes an optimized crystal structure of Tb4YIn5. The functional is PBE.

The structure in extended XYZ format:
```
10
Lattice="3.7544 0.0000 0.0000 0.0000 3.7544 0.0000 0.0000 0.0000 18.9237" Properties=species:S:1:pos:R:3 pbc="T T T"
In 1.8772 1.8772 1.8841
In 1.8772 1.8772 5.6748
In 1.8772 1.8772 9.4619
In 1.8772 1.8772 13.2490
In 1.8772 1.8772 17.0397
Tb 0.0000 0.0000 3.7804
Tb 0.0000 0.0000 7.5690
Tb 0.0000 0.0000 11.3548
Tb 0.0000 0.0000 15.1433
Y 0.0000 0.0000 0.0000
```

Values from the calculation:
As for the crystal system: tetragonal. The value obtained for the total energy is -4.35 eV per atom. As for the space group: P4/mmm.

This record from OQMD describes an optimized crystal structure of CdB2Pb. The functional is PBE.

The structure in extended XYZ format:
```
4
Lattice="0.0000 3.3117 3.3117 3.3117 0.0000 3.3117 3.3117 3.3117 0.0000" Properties=species:S:1:pos:R:3 pbc="T T T"
B 1.6559 1.6559 1.6559
B 3.3117 3.3117 3.3117
Cd 4.9675 4.9675 4.9675
Pb 0.0000 0.0000 0.0000
```

Values from the calculation:
As for the crystal system: cubic. The value obtained for the total energy is -2.68 eV per atom. As for the space group: F-43m.

This record from OQMD describes an optimized crystal structure of Ba2LiIrN6. The functional is PBE.

The structure in extended XYZ format:
```
10
Lattice="2.4094 -2.8925 4.3793 -5.2008 -0.7453 2.3971 0.9472 -1.6706 -5.4463" Properties=species:S:1:pos:R:3 pbc="T T T"
Ba 0.9804 -3.1910 1.1606
Ba -2.8247 -2.1174 0.1695
Ir 0.0000 0.0000 0.0000
Li -1.3957 -1.8189 3.3882
N -0.6698 -0.8729 1.6260
N -2.1216 -2.7649 5.1504
N -3.3733 -1.2959 2.8543
N -0.2527 -1.6695 -1.0004
N -1.5915 -3.6389 2.3305
N 1.5291 -4.0125 -1.5242
```

Values from the calculation:
As for the crystal system: tetragonal. The value obtained for the total energy is -5.77 eV per atom. As for the space group: I4/m.

This record from OQMD describes an optimized crystal structure of NdHo2S3. The functional is PBE.

The structure in extended XYZ format:
```
6
Lattice="-3.8770 0.3902 0.4243 1.5400 -3.5143 -0.8009 0.8640 -1.7975 9.5485" Properties=species:S:1:pos:R:3 pbc="T T T"
Ho -1.7800 -1.5175 3.2360
Ho 0.3070 -3.4041 5.9359
Nd 0.0000 0.0000 0.0000
S -0.1088 -2.5391 1.3407
S 0.4320 -0.8987 4.7742
S -1.3642 -2.3825 7.8312
```

Values from the calculation:
As for the crystal system: trigonal. The value obtained for the total energy is -6.38 eV per atom. As for the space group: P-3m1.

This record from OQMD describes an optimized crystal structure of NdSiTe. The functional is PBE.

The structure in extended XYZ format:
```
3
Lattice="0.0000 3.5075 3.5075 3.5075 0.0000 3.5075 3.5075 3.5075 0.0000" Properties=species:S:1:pos:R:3 pbc="T T T"
Nd 1.7537 1.7537 1.7537
Si 0.0000 0.0000 0.0000
Te 5.2613 5.2613 5.2613
```

Values from the calculation:
As for the crystal system: cubic. The value obtained for the energy relative to the lowest polymorph listed for this composition is 0 meV per atom. As for the space group: F-43m.

This record from OQMD describes an optimized crystal structure of MoOs2W. The functional is PBE.

The structure in extended XYZ format:
```
4
Lattice="0.0000 3.1274 3.1274 3.1274 0.0000 3.1274 3.1274 3.1274 0.0000" Properties=species:S:1:pos:R:3 pbc="T T T"
Mo 3.1274 3.1274 3.1274
Os 0.0000 0.0000 0.0000
Os 1.5637 1.5637 1.5637
W 4.6910 4.6910 4.6910
```

Values from the calculation:
As for the crystal system: cubic. The calculation puts the energy relative to the elements at 383 meV/atom. As for the space group: F-43m.